The following is a DFT calculation (PBE+U) of a geometry-optimized LaSi2MoO8 structure.

It has space group P-3m1 (No. 164), with a = 5.2985 Å, b = 5.2985 Å, c = 6.7960 Å, α = 90.00°, β = 90.00° and γ = 120.00°. The inequivalent atoms are La at (0.0000, 0.0000, 0.0000), Si at (0.3333, 0.6667, 0.2309), Mo at (0.0000, 0.0000, 0.5000), O at (0.1657, 0.3313, 0.3161) and O at (0.3333, 0.6667, 0.9956).

The calculation puts the calculated total energy at -7.71 eV per atom.